Entry 1:
A plane-wave DFT calculation with PBE-GGA was carried out for a relaxed structure of AgHSe2.

Cell lengths 6.4668, 6.4668, 6.4668 Å; angles 90.00, 90.00, 90.00 degrees
With the nearest neighbours (Å) after each atom.
Space group Fm-3m (No. 225)
One atom of each set of equivalent atoms:
Ag  0.0000  0.0000  0.0000  8 Se 2.80
H  0.0000  0.0000  0.5000  8 Se 2.80
Se  0.2500  0.2500  0.2500  4 H 2.80, 4 Ag 2.80

ΔE to the lowest computed polymorph = 637.3 meV per atom
D(E_F) = 3.0 states/eV/f.u.



Entry 2:
A plane-wave DFT calculation with PBE-GGA was carried out for a relaxed structure of AgH2Se2.

Cell lengths 3.9683, 4.6705, 5.8271 Å; angles 100.83, 92.23, 114.95 degrees
With the nearest neighbours (Å) after each atom.
Space group P-1 (No. 2)
One atom of each set of equivalent atoms:
Ag  0.0000  0.0000  0.0000  2 H 2.39, 2 Se 2.65
H  0.2040  0.4397  0.8055  1 Se 1.50
Se  0.3430  0.7400  0.7094  1 H 1.50

ΔE to the lowest computed polymorph = 0.0 meV per atom
D(E_F) = 0.7 states/eV/f.u.



Entry 3:
A plane-wave DFT calculation with PBE-GGA was carried out for a relaxed structure of Ag3HSe.

Cell lengths 4.3020, 4.3020, 4.3020 Å; angles 90.00, 90.00, 90.00 degrees
With the nearest neighbours (Å) after each atom.
Space group Pm-3m (No. 221)
One atom of each set of equivalent atoms:
Ag  0.0000  0.0000  0.5000  2 H 2.15
H  0.0000  0.0000  0.0000  6 Ag 2.15
Se  0.5000  0.5000  0.5000  12 Ag 3.04

ΔE to the lowest computed polymorph = 49.6 meV per atom
D(E_F) = 0.1 states/eV/f.u.



Entry 4:
A plane-wave DFT calculation with PBE-GGA was carried out for a relaxed structure of AgH2Se.

Cell lengths 5.7355, 5.7355, 5.7355 Å; angles 90.00, 90.00, 90.00 degrees
With the nearest neighbours (Å) after each atom.
Space group Fm-3m (No. 225)
One atom of each set of equivalent atoms:
Ag  0.0000  0.0000  0.0000  8 H 2.48
H  0.2500  0.2500  0.2500  4 Se 2.48, 4 Ag 2.48
Se  0.0000  0.0000  0.5000  8 H 2.48

ΔE to the lowest computed polymorph = 793.0 meV per atom
D(E_F) = 2.6 states/eV/f.u.



Entry 5:
A plane-wave DFT calculation with PBE-GGA was carried out for a relaxed structure of AgHSe2.

Cell lengths 3.0990, 3.0990, 23.9973 Å; angles 90.00, 90.00, 120.00 degrees
With the nearest neighbours (Å) after each atom.
Space group R-3m (No. 166, hexagonal axes)
One atom of each set of equivalent atoms:
Ag  0.0000  0.0000  0.0000  2 Se 2.57
H  0.0000  0.0000  0.5000  6 Se 2.29
Se  0.0000  0.0000  0.1070  3 H 2.29

ΔE to the lowest computed polymorph = 455.0 meV per atom
D(E_F) = 1.3 states/eV/f.u.



Entry 6:
A plane-wave DFT calculation with PBE-GGA was carried out for a relaxed structure of AgHSe2.

Cell lengths 5.7070, 5.7070, 8.8688 Å; angles 90.00, 90.00, 90.00 degrees
With the nearest neighbours (Å) after each atom.
Space group I-42d (No. 122)
One atom of each set of equivalent atoms:
Ag  0.0000  0.0000  0.0000  4 Se 2.64
H  0.0000  0.0000  0.5000  4 Se 2.03
Se  0.1624  0.2500  0.6250  2 H 2.03

ΔE to the lowest computed polymorph = 269.3 meV per atom
D(E_F) = 1.0 states/eV/f.u.